1:
VASP calculation (PBE-GGA) on a relaxed structure of VIn3Se.

## Properties
calculated volume = 162.2 Å³/cell
N(E_F) = 7.3 states/eV per cell
SG = Pm-3m, No. 221

The structure in POSCAR format:
```
VIn3Se
1.0
5.453 0.000 0.000
0.000 5.453 0.000
0.000 0.000 5.453
In V Se
3 1 1
direct
0.000 0.500 0.000
0.500 0.000 0.000
0.000 0.000 0.500
0.500 0.500 0.500
0.000 0.000 0.000
```


2:
VASP calculation (PBE-GGA) on a relaxed structure of VIn3Se.

## Properties
calculated volume = 152.3 Å³/cell
N(E_F) = 6.7 states/eV per cell
SG = Pm-3m, No. 221

The structure in POSCAR format:
```
VIn3Se
1.0
-1.544 2.256 -4.587
-5.111 -0.745 1.354
-0.068 4.782 2.374
In V Se
3 1 1
direct
0.500 0.000 0.000
0.000 0.000 0.500
0.000 0.500 0.000
0.000 0.000 0.000
0.500 0.500 0.500
```


Of them, 1 has the lowest stability.


1:
VASP calculation (PBE-GGA) on a relaxed structure of Y3InSe.

## Properties
calculated volume = 150.8 Å³/cell
N(E_F) = 2.6 states/eV per cell
SG = Pm-3m, No. 221

The structure in POSCAR format:
```
Y3InSe
1.0
-4.359 0.418 3.026
0.418 -5.142 1.312
3.026 1.312 4.178
Y Se In
3 1 1
direct
0.000 0.000 0.500
0.500 0.000 0.000
0.000 0.500 0.000
0.000 0.000 0.000
0.500 0.500 0.500
```


2:
VASP calculation (PBE-GGA) on a relaxed structure of Y3InSe.

## Properties
calculated volume = 554.7 Å³/cell
N(E_F) = 15.9 states/eV per cell
SG = Pnma, No. 62

The structure in POSCAR format:
```
Y3InSe
1.0
4.013 0.000 0.000
0.000 9.118 0.000
0.000 0.000 15.161
Y Se In
12 4 4
direct
0.250 0.207 0.780
0.750 0.793 0.220
0.750 0.536 0.884
0.250 0.964 0.384
0.250 0.464 0.116
0.750 0.660 0.484
0.250 0.707 0.720
0.750 0.036 0.616
0.750 0.160 0.016
0.250 0.340 0.516
0.250 0.840 0.984
0.750 0.293 0.280
0.750 0.660 0.055
0.750 0.160 0.445
0.250 0.340 0.945
0.250 0.840 0.555
0.250 0.066 0.174
0.250 0.566 0.326
0.750 0.934 0.826
0.750 0.434 0.674
```


Of them, 1 has the lowest stability.


1:
VASP calculation (PBE-GGA) on a relaxed structure of Y2InSe2.

## Properties
calculated volume = 250.2 Å³/cell
N(E_F) = 11.4 states/eV per cell
SG = P4/mbm, No. 127

The structure in POSCAR format:
```
Y2InSe2
1.0
-5.101 -2.998 5.693
6.259 -3.995 3.505
0.674 2.945 2.155
In Y Se
2 4 4
direct
0.500 0.500 0.000
0.000 0.000 0.000
0.658 0.158 0.000
0.342 0.842 0.000
0.158 0.342 0.000
0.842 0.658 0.000
0.360 0.140 0.500
0.860 0.360 0.500
0.640 0.860 0.500
0.140 0.640 0.500
```


2:
VASP calculation (PBE-GGA) on a relaxed structure of Y2InSe2.

## Properties
calculated volume = 244.6 Å³/cell
N(E_F) = 12.7 states/eV per cell
SG = P4/mbm, No. 127

The structure in POSCAR format:
```
Y2InSe2
1.0
8.250 0.000 0.000
0.000 8.250 0.000
0.000 0.000 3.594
Y Se In
4 4 2
direct
0.657 0.843 0.500
0.843 0.343 0.500
0.157 0.657 0.500
0.343 0.157 0.500
0.639 0.139 0.000
0.139 0.361 0.000
0.861 0.639 0.000
0.361 0.861 0.000
0.000 0.000 0.000
0.500 0.500 0.000
```


Of them, 1 has the lowest stability.